Density functional theory data (PBE-GGA) for an optimized crystal structure of Pr4Nd5Al.

Cell lengths 3.699, 3.699, 24.805 Å; angles 90.00, 90.00, 90.00 degrees
Space group P4/mmm (No. 123)
Unique sites:
1 Pr 0.000 0.000 0.105 (multiplicity 2)
2 Pr 0.000 0.000 0.317 (multiplicity 2)
3 Nd 0.500 0.500 0.000 (multiplicity 1)
4 Nd 0.500 0.500 0.212 (multiplicity 2)
5 Nd 0.500 0.500 0.424 (multiplicity 2)
6 Al 0.000 0.000 0.500 (multiplicity 1)

Values from the calculation:
Crystal system: tetragonal
Energy of formation: -0.052 eV/atom
DOS at the Fermi energy: 14.2 states/eV per cell
Final energy: -0.34707 Ry per atom
Density: 6.4 g/cm³